Density functional theory data (PBE-GGA) for crystalline FeNi7Ge2P2 at its relaxed geometry.

POSCAR file:
```
FeNi7Ge2P2
1.0
-2.615 -1.673 1.613
1.829 0.121 2.980
-5.814 11.230 4.158
Fe Ni Ge P
1 7 2 2
direct
0.000 0.000 0.000 Fe
0.500 0.500 0.000 Ni
0.388 0.388 0.406 Ni
0.612 0.612 0.594 Ni
0.963 0.464 0.139 Ni
0.464 0.963 0.139 Ni
0.536 0.037 0.861 Ni
0.037 0.536 0.861 Ni
0.869 0.869 0.417 Ge
0.131 0.131 0.583 Ge
0.563 0.563 0.759 P
0.437 0.437 0.241 P
```

SG = C2/m, No. 12
VASP energy = -5.92 eV per atom
Calculated volume = 162.2 Å³ per cell